Here is a relaxed structure of TaV4Tc from the Alexandria database. Energies are from PBE.

abc: 2.542 4.761 7.841
angles: 89.56 80.67 74.52
Element x y z (fractional)
Ta  0.500  0.500  0.500
V  0.672  0.502  0.155
V  0.328  0.498  0.845
V  0.153  0.025  0.669
V  0.847  0.975  0.331
Tc  0.000  0.000  0.000

Polymorph energy (0 for the lowest one) (meV/atom): 352.9
Crystal system: monoclinic
DFT formation energy (meV/atom): 257
Space group: No. 12
Electronic total energy (eV/atom): -9.525